No. 1
This record from Alexandria via LeMat-Bulk describes a relaxed structure of KPm2Pa. The functional is PBE.

Lattice parameters (Å, degrees): 4.3153 4.3153 11.1153 78.81 78.81 60.00
Fractional positions:
K 0.0000 0.0000 0.0000
Pm 0.8825 0.8825 0.3525
Pm 0.1175 0.1175 0.6475
Pa 0.5000 0.5000 0.5000

Output
As for the symmetry: No. 166. The value obtained for the energy of formation from the pure elements is 0.984 eV/atom. Its density is 5.32 g/cm3.



No. 2
This record from Alexandria via LeMat-Bulk describes a relaxed structure of KPm2PaS5. The functional is PBE.

Lattice parameters (Å, degrees): 5.0639 7.2070 8.1731 116.16 108.05 90.00
Fractional positions:
Pm 0.7968 0.7968 0.5935
Pm 0.2032 0.2032 0.4065
K 0.0000 0.5000 0.0000
S 0.3500 0.0881 0.7001
S 0.6500 0.3880 0.2999
S 0.6500 0.9119 0.2999
S 0.3500 0.6120 0.7001
S 0.0000 0.0000 0.0000
Pa 0.5000 0.0000 0.0000

Output
The formation energy (no corrections) comes out at -164.3 kJ per mole of atoms. As for the symmetry: No. 71. Its density is 4.76 g/cm3.



No. 3
This record from Alexandria via LeMat-Bulk describes a relaxed structure of K2PmPaS4. The functional is PBE.

Lattice parameters (Å, degrees): 4.0735 7.1024 7.8047 107.42 90.00 90.00
Site moments in Bohr magnetons follow the coordinates.
Fractional positions:
S 0.0000 0.2712 0.7933  -0.03
S 0.5000 0.7549 0.7916  -0.01
S 0.5000 0.2451 0.2084  -0.01
S 0.0000 0.7288 0.2067  -0.03
Pm 0.0000 0.0000 0.0000  0.15
Pa 0.5000 0.5000 0.0000  1.28
K 0.5000 0.0000 0.5000  0.01
K 0.0000 0.5000 0.5000  0.00

Output
The formation energy (no corrections) comes out at -159.6 kJ per mole of atoms. As for the symmetry: No. 10. Its density is 4.49 g/cm3.



No. 4
This record from Alexandria via LeMat-Bulk describes a relaxed structure of K2Pm2PaS6. The functional is PBE.

Lattice parameters (Å, degrees): 7.1057 7.1057 7.8984 98.79 98.79 119.64
Site moments in Bohr magnetons follow the coordinates.
Fractional positions:
S 0.6112 0.9358 0.3017  -0.01
S 0.2515 0.2515 0.3018  -0.01
S 0.7485 0.7485 0.6982  -0.01
S 0.0642 0.3888 0.6983  -0.01
S 0.3888 0.0642 0.6983  -0.01
S 0.9358 0.6112 0.3017  -0.01
K 0.1691 0.8309 0.0000  0.00
K 0.8309 0.1691 0.0000  0.00
Pm 0.3342 0.6658 0.5000  0.04
Pm 0.6658 0.3342 0.5000  0.04
Pa 0.0000 0.0000 0.5000  0.90

Output
The formation energy (no corrections) comes out at -173.5 kJ per mole of atoms. As for the symmetry: No. 12. Its density is 3.98 g/cm3.



No. 5
This record from Alexandria via LeMat-Bulk describes a relaxed structure of K3Pm2PaS6. The functional is PBE.

Lattice parameters (Å, degrees): 7.1225 7.1225 7.7873 98.78 98.78 119.99
Site moments in Bohr magnetons follow the coordinates.
Fractional positions:
K 0.5000 0.5000 0.5000  0.00
K 0.8309 0.1691 0.5000  0.00
K 0.1691 0.8309 0.5000  0.00
S 0.2534 0.2534 0.7926  -0.01
S 0.9310 0.6080 0.7928  -0.02
S 0.6080 0.9310 0.7928  -0.02
S 0.7466 0.7466 0.2074  -0.01
S 0.0690 0.3920 0.2072  -0.02
S 0.3920 0.0690 0.2072  -0.02
Pa 0.0000 0.0000 0.0000  1.07
Pm 0.6665 0.3335 0.0000  0.12
Pm 0.3335 0.6665 0.0000  0.12

Output
The formation energy (no corrections) comes out at -166.1 kJ per mole of atoms. As for the symmetry: No. 12. Its density is 4.23 g/cm3.



No. 6
This record from Alexandria via LeMat-Bulk describes a relaxed structure of K4Pm3PaS8. The functional is PBE.

Lattice parameters (Å, degrees): 8.2694 8.8108 8.2689 118.00 120.00 90.00
Site moments in Bohr magnetons follow the coordinates.
Fractional positions:
S 0.2636 0.2908 0.5272  0.00
S 0.2313 0.7063 0.9751  -0.01
S 0.7438 0.7063 0.9751  -0.01
S 0.2562 0.2937 0.0249  -0.01
S 0.7364 0.7092 0.4728  0.00
S 0.7687 0.2937 0.5374  -0.01
S 0.7687 0.2937 0.0249  -0.01
S 0.2313 0.7063 0.4626  -0.01
K 0.5000 0.0000 0.5000  0.00
K 0.0000 0.0000 0.5000  0.00
K 0.5000 0.0000 0.0000  0.00
K 0.0000 0.0000 0.0000  0.00
Pm 0.5000 0.5000 0.5000  0.07
Pm 0.0000 0.5000 0.5000  0.07
Pm 0.5000 0.5000 0.0000  0.07
Pa 0.0000 0.5000 0.0000  1.19

Output
The formation energy (no corrections) comes out at -169.0 kJ per mole of atoms. As for the symmetry: No. 166. Its density is 4.09 g/cm3.



No. 7
This record from Alexandria via LeMat-Bulk describes a relaxed structure of KPmPaS4. The functional is PBE.

Lattice parameters (Å, degrees): 8.3876 8.4927 8.5483 120.22 90.00 119.59
Site moments in Bohr magnetons follow the coordinates.
Fractional positions:
S 0.2648 0.5295 0.7226  -0.02
S 0.3057 0.0515 0.2758  -0.01
S 0.7352 0.4705 0.6931  -0.02
S 0.2648 0.5295 0.3069  -0.02
S 0.2542 0.9485 0.7242  -0.01
S 0.7352 0.4705 0.2774  -0.02
S 0.6943 0.9485 0.7242  -0.01
S 0.7458 0.0515 0.2758  -0.01
Pm 0.5000 0.0000 0.5000  0.05
Pm 0.5000 0.0000 0.0000  0.05
Pa 0.0000 0.5000 0.5000  0.91
Pa 0.5000 0.5000 0.5000  0.91
K 0.1261 0.2522 0.8761  0.00
K 0.8739 0.7478 0.1239  0.00

Output
The formation energy (no corrections) comes out at -164.6 kJ per mole of atoms. As for the symmetry: No. 74. Its density is 4.18 g/cm3.



No. 8
This record from Alexandria via LeMat-Bulk describes a relaxed structure of KPm2PaSe5. The functional is PBE.

Lattice parameters (Å, degrees): 5.3055 7.5190 8.5395 116.12 108.10 90.00
Site moments in Bohr magnetons follow the coordinates.
Fractional positions:
Pm 0.7981 0.7981 0.5962  0.01
Pm 0.2019 0.2019 0.4038  0.01
Se 0.6503 0.3909 0.3006  -0.01
Se 0.0000 0.0000 0.0000  -0.01
Se 0.3497 0.6091 0.6994  -0.01
Se 0.3497 0.0903 0.6994  -0.01
Se 0.6503 0.9097 0.3006  -0.01
K 0.0000 0.5000 0.0000  0.00
Pa 0.5000 0.0000 0.0000  0.37

Output
The formation energy (no corrections) comes out at -145.6 kJ per mole of atoms. As for the symmetry: No. 71. Its density is 5.53 g/cm3.



No. 9
This record from Alexandria via LeMat-Bulk describes a relaxed structure of K3Pm2PaSe6. The functional is PBE.

Lattice parameters (Å, degrees): 7.3996 7.3996 8.1163 98.74 98.74 119.99
Site moments in Bohr magnetons follow the coordinates.
Fractional positions:
Se 0.6043 0.9298 0.7891  -0.01
Se 0.3957 0.0702 0.2109  -0.01
Se 0.7453 0.7453 0.2113  -0.01
Se 0.0702 0.3957 0.2109  -0.01
Se 0.2547 0.2547 0.7887  -0.01
Se 0.9298 0.6043 0.7891  -0.01
Pm 0.6664 0.3336 0.0000  0.11
Pm 0.3336 0.6664 0.0000  0.11
Pa 0.0000 0.0000 0.0000  1.22
K 0.1689 0.8311 0.5000  0.00
K 0.8311 0.1689 0.5000  0.00
K 0.5000 0.5000 0.5000  0.00

Output
The formation energy (no corrections) comes out at -154.2 kJ per mole of atoms. As for the symmetry: No. 12. Its density is 5.04 g/cm3.



No. 10
This record from Alexandria via LeMat-Bulk describes a relaxed structure of K3Pm3PaSe8. The functional is PBE.

Lattice parameters (Å, degrees): 8.5702 8.5707 9.2437 117.62 90.00 120.00
Site moments in Bohr magnetons follow the coordinates.
Fractional positions:
Pa 0.0000 0.0000 0.5000  0.98
Se 0.2636 0.5272 0.2908  0.00
Se 0.7430 0.9728 0.7025  -0.01
Se 0.7702 0.0272 0.2975  -0.01
Se 0.2298 0.9728 0.7025  -0.01
Se 0.2570 0.0272 0.2975  -0.01
Se 0.2298 0.4596 0.7025  -0.01
Se 0.7702 0.5404 0.2975  -0.01
Se 0.7364 0.4728 0.7092  0.00
Pm 0.5000 0.0000 0.5000  0.01
Pm 0.0000 0.5000 0.5000  0.01
Pm 0.5000 0.5000 0.5000  0.01
K 0.0000 0.5000 0.0000  0.00
K 0.5000 0.5000 0.0000  0.00
K 0.0000 0.0000 0.0000  0.00

Output
The formation energy (no corrections) comes out at -162.3 kJ per mole of atoms. As for the symmetry: No. 166. Its density is 4.73 g/cm3.



No. 11
This record from Alexandria via LeMat-Bulk describes a relaxed structure of K2PmPaSe4. The functional is PBE.

Lattice parameters (Å, degrees): 4.2301 7.3727 8.1411 107.34 90.00 90.00
Site moments in Bohr magnetons follow the coordinates.
Fractional positions:
Se 0.0000 0.2559 0.7881  -0.01
Se 0.0000 0.7441 0.2119  -0.01
Se 0.5000 0.2318 0.2110  -0.02
Se 0.5000 0.7682 0.7890  -0.02
Pm 0.5000 0.5000 0.0000  0.14
Pa 0.0000 0.0000 0.0000  1.36
K 0.0000 0.5000 0.5000  0.00
K 0.5000 0.0000 0.5000  0.00

Output
The formation energy (no corrections) comes out at -146.9 kJ per mole of atoms. As for the symmetry: No. 10. Its density is 5.28 g/cm3.



No. 12
This record from Alexandria via LeMat-Bulk describes a relaxed structure of K4Pm3PaSe8. The functional is PBE.

Lattice parameters (Å, degrees): 8.5828 9.1732 8.5830 117.91 120.00 90.00
Site moments in Bohr magnetons follow the coordinates.
Fractional positions:
Pa 0.0000 0.5000 0.0000  1.29
K 0.5000 0.0000 0.0000  0.00
K 0.5000 0.0000 0.5000  0.00
K 0.0000 0.0000 0.5000  0.00
K 0.0000 0.0000 0.0000  0.00
Pm 0.0000 0.5000 0.5000  0.07
Pm 0.5000 0.5000 0.0000  0.07
Pm 0.5000 0.5000 0.5000  0.07
Se 0.2337 0.7103 0.4673  -0.01
Se 0.2337 0.7103 0.9768  -0.01
Se 0.2569 0.2897 0.0232  -0.01
Se 0.7431 0.7103 0.9768  -0.01
Se 0.7663 0.2897 0.0232  -0.01
Se 0.7663 0.2897 0.5327  -0.01
Se 0.2625 0.2878 0.5250  0.00
Se 0.7375 0.7122 0.4750  0.00

Output
The formation energy (no corrections) comes out at -157.9 kJ per mole of atoms. As for the symmetry: No. 166. Its density is 4.90 g/cm3.